(1)
A plane-wave DFT calculation with PBE was carried out for a geometry-optimized La5Nd4Dy structure.

```
data_La5Nd4Dy
_chemical_formula_sum 'La10 Nd8 Dy2'
_space_group_name_H-M_alt 'C 1 2/m 1'
_space_group_IT_number 12
_cell_length_a 17.707
_cell_length_b 3.649
_cell_length_c 11.768
_cell_angle_alpha 90.00
_cell_angle_beta 109.50
_cell_angle_gamma 90.00
loop_
_space_group_symop_operation_xyz
'x,y,z'
'-x,-y,-z'
'-x,y,-z'
'x,-y,z'
'x+1/2,y+1/2,z'
'-x+1/2,-y+1/2,-z'
'-x+1/2,y+1/2,-z'
'x+1/2,-y+1/2,z'
loop_
_atom_site_label
_atom_site_fract_x
_atom_site_fract_y
_atom_site_fract_z
_atom_site_occupancy
La1 0.000 0.000 0.000 1
La2 0.191 0.500 0.086 1
La3 0.206 0.500 0.607 1
Nd1 0.084 0.500 0.295 1
Nd2 0.106 0.000 0.798 1
Dy1 0.000 0.000 0.500 1
```

Properties
As for the density of states at the Fermi level: 1.474 states/eV/atom. The value obtained for the formation energy is 0.03 eV per atom. The energy relative to the lowest polymorph listed for this composition is 0.14 eV/f.u.



(2)
A plane-wave DFT calculation with PBE was carried out for a geometry-optimized Ho6GaSe8 structure.

```
data_Ho6GaSe8
_chemical_formula_sum 'Ho24 Ga4 Se32'
_space_group_name_H-M_alt 'F m -3 m'
_space_group_IT_number 225
_space_group_name_Hall '-F 4 2 3'
_cell_length_a 11.464
_cell_length_b 11.464
_cell_length_c 11.464
_cell_angle_alpha 90.00
_cell_angle_beta 90.00
_cell_angle_gamma 90.00
loop_
_atom_site_label
_atom_site_fract_x
_atom_site_fract_y
_atom_site_fract_z
_atom_site_occupancy
Ho1 0.000 0.250 0.250 1
Ga1 0.000 0.000 0.000 1
Se1 0.000 0.000 0.254 1
Se2 0.250 0.250 0.250 1
```

Properties
As for the density of states at the Fermi level: 0.306 states/eV/atom. The formation energy from raw total energies comes out at -24.53 eV per formula unit.